1.
GeAuBr2 | PBE-GGA | relaxed

Space group ... I-42d (122)
Uncorrected energy ... -2.619 eV/atom
Formation energy without anion corrections ... 0.8 eV/f.u.

Unit cell a=5.192 b=5.192 c=9.304 alpha=73.80 beta=73.80 gamma=90.00
Positions (direct):
Ge: 0.500 0.500 0.000
Ge: 0.250 0.750 0.500
Au: 0.000 0.000 0.000
Au: 0.750 0.250 0.500
Br: 0.628 0.125 0.250
Br: 0.122 0.625 0.250
Br: 0.375 0.372 0.750
Br: 0.875 0.878 0.750

***

2.
Ge3AuBr | PBE-GGA | relaxed

Space group ... Pm-3m (221)
Uncorrected energy ... -2.717 eV/atom
Formation energy without anion corrections ... 5.2 eV/f.u.

Unit cell a=5.128 b=5.128 c=5.128 alpha=90.00 beta=90.00 gamma=90.00
Positions (direct):
Ge: 0.000 0.500 0.000
Ge: 0.000 0.000 0.500
Ge: 0.500 0.000 0.000
Au: 0.500 0.500 0.500
Br: 0.000 0.000 0.000

***

3.
Ge2AuBr8 | PBE-GGA | relaxed

Space group ... C2/m (12)
Uncorrected energy ... -2.714 eV/atom
Formation energy without anion corrections ... -4.0 eV/f.u.

Unit cell a=6.970 b=8.296 c=8.296 alpha=77.76 beta=82.18 gamma=82.18
Positions (direct):
Ge: 0.702 0.792 0.792
Ge: 0.298 0.208 0.208
Au: 0.000 0.000 0.000
Br: 0.188 0.292 0.934
Br: 0.812 0.066 0.708
Br: 0.353 0.821 0.821
Br: 0.647 0.179 0.179
Br: 0.188 0.934 0.292
Br: 0.812 0.708 0.066
Br: 0.862 0.612 0.612
Br: 0.138 0.388 0.388

***

4.
GeAu2Br | PBE-GGA | relaxed

Space group ... Fm-3m (225)
Uncorrected energy ... -2.754 eV/atom
Formation energy without anion corrections ... 1.8 eV/f.u.

Unit cell a=4.918 b=4.918 c=4.918 alpha=60.00 beta=60.00 gamma=60.00
Positions (direct):
Ge: 0.000 0.000 0.000
Au: 0.250 0.250 0.250
Au: 0.750 0.750 0.750
Br: 0.500 0.500 0.500

***

5.
Ge2AuBr6 | PBE-GGA | relaxed

Space group ... C2/c (15)
Uncorrected energy ... -2.892 eV/atom
Formation energy without anion corrections ... -3.5 eV/f.u.

Unit cell a=9.555 b=9.469 c=9.469 alpha=85.66 beta=74.04 gamma=74.04
Positions (direct):
Ge: 0.276 0.626 0.772
Ge: 0.224 0.228 0.374
Ge: 0.724 0.374 0.228
Ge: 0.776 0.772 0.626
Au: 0.250 0.229 0.771
Au: 0.750 0.771 0.229
Br: 0.549 0.655 0.652
Br: 0.951 0.348 0.345
Br: 0.451 0.345 0.348
Br: 0.049 0.652 0.655
Br: 0.809 0.927 0.384
Br: 0.691 0.616 0.073
Br: 0.191 0.073 0.616
Br: 0.309 0.384 0.927
Br: 0.180 0.793 0.971
Br: 0.320 0.029 0.207
Br: 0.820 0.207 0.029
Br: 0.680 0.971 0.793

***

6.
GeAu2Br | PBE-GGA | relaxed

Space group ... I-42d (122)
Uncorrected energy ... -3.134 eV/atom
Formation energy without anion corrections ... 0.3 eV/f.u.

Unit cell a=6.789 b=6.789 c=6.632 alpha=59.22 beta=59.22 gamma=90.00
Positions (direct):
Ge: 0.500 0.500 0.000
Ge: 0.250 0.750 0.500
Au: 0.584 0.125 0.250
Au: 0.166 0.625 0.250
Au: 0.375 0.416 0.750
Au: 0.875 0.834 0.750
Br: 0.000 0.000 0.000
Br: 0.750 0.250 0.500

***

7.
Ge2AuBr2 | PBE-GGA | relaxed

Space group ... P4/mbm (127)
Uncorrected energy ... -3.221 eV/atom
Formation energy without anion corrections ... -0.2 eV/f.u.

Unit cell a=7.368 b=7.368 c=4.891 alpha=90.00 beta=90.00 gamma=90.00
Positions (direct):
Ge: 0.281 0.781 0.000
Ge: 0.781 0.719 0.000
Ge: 0.719 0.219 0.000
Ge: 0.219 0.281 0.000
Au: 0.000 0.000 0.000
Au: 0.500 0.500 0.000
Br: 0.169 0.669 0.500
Br: 0.669 0.831 0.500
Br: 0.831 0.331 0.500
Br: 0.331 0.169 0.500

***

8.
GeAuBr2 | PBE-GGA | relaxed

Space group ... Fm-3m (225)
Uncorrected energy ... -2.569 eV/atom
Formation energy without anion corrections ... 1.0 eV/f.u.

Unit cell a=5.093 b=5.093 c=5.093 alpha=60.00 beta=60.00 gamma=60.00
Positions (direct):
Ge: 0.000 0.000 0.000
Au: 0.500 0.500 0.500
Br: 0.250 0.250 0.250
Br: 0.750 0.750 0.750

***

9.
GeAuBr2 | PBE-GGA | relaxed

Space group ... R-3m (166)
Uncorrected energy ... -2.716 eV/atom
Formation energy without anion corrections ... 0.4 eV/f.u.

Unit cell a=9.293 b=9.293 c=9.293 alpha=23.44 beta=23.44 gamma=23.44
Positions (direct):
Ge: 0.500 0.500 0.500
Au: 0.000 0.000 0.000
Br: 0.907 0.907 0.907
Br: 0.093 0.093 0.093

***

10.
HfGe2AuBr | PBE-GGA | relaxed

Space group ... P4/mmm (123)
Uncorrected energy ... -4.276 eV/atom
Formation energy without anion corrections ... 2.8 eV/f.u.

Unit cell a=5.363 b=5.188 c=5.363 alpha=90.00 beta=90.00 gamma=90.00
Positions (direct):
Hf: 0.000 0.000 0.000
Ge: 0.000 0.000 0.500
Ge: 0.500 0.000 0.000
Au: 0.000 0.500 0.000
Br: 0.500 0.500 0.500

***

11.
La8Ge3AuBr4 | PBE-GGA | relaxed

Space group ... R-3m (166)
Uncorrected energy ... -5.131 eV/atom
Formation energy without anion corrections ... -18.9 eV/f.u.

Unit cell a=8.890 b=8.792 c=8.890 alpha=120.37 beta=120.00 gamma=90.00
Positions (direct):
La: 0.246 0.729 0.983
La: 0.246 0.729 0.491
La: 0.258 0.275 0.516
La: 0.738 0.729 0.983
La: 0.262 0.271 0.017
La: 0.742 0.725 0.484
La: 0.754 0.271 0.509
La: 0.754 0.271 0.017
Ge: 0.500 0.500 0.000
Ge: 0.500 0.500 0.500
Ge: 0.000 0.500 0.500
Au: 0.000 0.500 0.000
Br: 0.500 0.000 0.000
Br: 0.500 0.000 0.500
Br: 0.000 0.000 0.000
Br: 0.000 0.000 0.500

***

12.
La6Ge2AuBr3 | PBE-GGA | relaxed

Space group ... C2/m (12)
Uncorrected energy ... -5.086 eV/atom
Formation energy without anion corrections ... -13.9 eV/f.u.

Unit cell a=4.394 b=8.927 c=9.866 alpha=101.67 beta=102.87 gamma=90.00
Positions (direct):
La: 0.335 0.898 0.670
La: 0.673 0.569 0.345
La: 0.665 0.102 0.330
La: 0.007 0.238 0.014
La: 0.993 0.762 0.986
La: 0.327 0.431 0.655
Ge: 0.833 0.666 0.667
Ge: 0.167 0.334 0.333
Au: 0.500 0.000 0.000
Br: 0.500 0.500 0.000
Br: 0.833 0.168 0.666
Br: 0.167 0.832 0.334

***

13.
LiGeAu2Br | PBE-GGA | relaxed

Space group ... P4/mmm (123)
Uncorrected energy ... -2.707 eV/atom
Formation energy without anion corrections ... 1.2 eV/f.u.

Unit cell a=4.774 b=4.766 c=4.774 alpha=90.00 beta=90.00 gamma=90.00
Positions (direct):
Ge: 0.500 0.500 0.500
Au: 0.000 0.000 0.500
Au: 0.500 0.000 0.000
Br: 0.000 0.500 0.000
Li: 0.000 0.000 0.000

***

14.
GeAuBrN | PBE-GGA | relaxed

Space group ... Cm (8)
Uncorrected energy ... -4.094 eV/atom
Formation energy without anion corrections ... 1.5 eV/f.u.

Unit cell a=3.831 b=3.130 c=14.303 alpha=90.00 beta=98.09 gamma=90.00
Positions (direct):
Ge: 0.306 0.000 0.071
Ge: 0.306 0.500 0.571
Au: 0.746 0.000 0.951
Au: 0.746 0.500 0.451
Br: 0.164 0.000 0.818
Br: 0.164 0.500 0.318
N: 0.371 0.000 0.636
N: 0.371 0.500 0.136

***

15.
GeAuBrN | PBE-GGA | relaxed

Space group ... P1 (1)
Uncorrected energy ... -4.305 eV/atom
Formation energy without anion corrections ... 0.7 eV/f.u.

Unit cell a=3.088 b=3.088 c=9.828 alpha=97.45 beta=90.27 gamma=119.99
Positions (direct):
Ge: 0.122 0.968 0.833
Au: 0.197 0.110 0.088
Br: 0.277 0.262 0.361
N: 0.769 0.263 0.766

***

16.
GeAuBrN | PBE-GGA | relaxed

Space group ... P1 (1)
Uncorrected energy ... -4.164 eV/atom
Formation energy without anion corrections ... 1.2 eV/f.u.

Unit cell a=3.407 b=3.456 c=7.361 alpha=89.16 beta=79.86 gamma=68.50
Positions (direct):
Ge: 0.849 0.230 0.243
Au: 0.488 0.411 0.912
Br: 0.901 0.130 0.599
N: 0.225 0.577 0.197

***

17.
Ge2PdAuBr | PBE-GGA | relaxed

Space group ... P4/mmm (123)
Uncorrected energy ... -3.656 eV/atom
Formation energy without anion corrections ... 1.1 eV/f.u.

Unit cell a=4.808 b=5.252 c=4.808 alpha=90.00 beta=90.00 gamma=90.00
Positions (direct):
Ge: 0.000 0.000 0.500
Ge: 0.500 0.000 0.000
Au: 0.000 0.500 0.000
Br: 0.500 0.500 0.500
Pd: 0.000 0.000 0.000

***

18.
Pr6Ge2AuBr3 | PBE-GGA | relaxed

Space group ... C2/m (12)
Uncorrected energy ... -4.931 eV/atom
Formation energy without anion corrections ... -13.0 eV/f.u.

Unit cell a=7.581 b=7.581 c=7.555 alpha=99.70 beta=99.70 gamma=119.92
Positions (direct):
Pr: 0.926 0.588 0.776
Pr: 0.736 0.736 0.227
Pr: 0.074 0.412 0.224
Pr: 0.588 0.926 0.776
Pr: 0.264 0.264 0.773
Pr: 0.412 0.074 0.224
Ge: 0.334 0.666 0.000
Ge: 0.666 0.334 0.000
Au: 0.000 0.000 0.000
Br: 0.171 0.829 0.500
Br: 0.829 0.171 0.500
Br: 0.500 0.500 0.500

***

19.
Pr4GeAuBr2 | PBE-GGA | relaxed

Space group ... P2/m (10)
Uncorrected energy ... -4.842 eV/atom
Formation energy without anion corrections ... -8.4 eV/f.u.

Unit cell a=4.289 b=7.564 c=7.739 alpha=71.65 beta=90.00 gamma=90.00
Positions (direct):
Pr: 0.000 0.722 0.759
Pr: 0.000 0.278 0.241
Pr: 0.500 0.726 0.266
Pr: 0.500 0.274 0.734
Ge: 0.000 0.500 0.500
Au: 0.500 0.500 0.000
Br: 0.000 0.000 0.000
Br: 0.500 0.000 0.500

***

20.
Rb2GeAuBr6 | PBE-GGA | relaxed

Space group ... I4/mmm (139)
Uncorrected energy ... -2.906 eV/atom
Formation energy without anion corrections ... -9.2 eV/f.u.

Unit cell a=7.699 b=7.699 c=7.736 alpha=60.16 beta=60.16 gamma=90.00
Positions (direct):
Ge: 0.500 0.500 0.000
Au: 0.000 0.000 0.000
Br: 0.256 0.256 0.489
Br: 0.744 0.744 0.511
Br: 0.253 0.253 0.000
Br: 0.747 0.747 0.000
Br: 0.747 0.253 0.000
Br: 0.253 0.747 0.000
Rb: 0.750 0.250 0.500
Rb: 0.250 0.750 0.500

***

21.
GeAuSeBr2 | PBE-GGA | relaxed

Space group ... P4/mmm (123)
Uncorrected energy ... -2.600 eV/atom
Formation energy without anion corrections ... 1.7 eV/f.u.

Unit cell a=5.159 b=5.159 c=5.302 alpha=90.00 beta=90.00 gamma=90.00
Positions (direct):
Ge: 0.500 0.500 0.500
Au: 0.000 0.000 0.000
Se: 0.000 0.000 0.500
Br: 0.000 0.500 0.000
Br: 0.500 0.000 0.000

***

22.
GeAuSeBr2 | PBE-GGA | relaxed

Space group ... P4/mmm (123)
Uncorrected energy ... -2.609 eV/atom
Formation energy without anion corrections ... 1.7 eV/f.u.

Unit cell a=5.161 b=5.161 c=5.203 alpha=90.00 beta=90.00 gamma=90.00
Positions (direct):
Ge: 0.000 0.000 0.000
Au: 0.500 0.500 0.500
Se: 0.000 0.000 0.500
Br: 0.000 0.500 0.000
Br: 0.500 0.000 0.000

***

23.
GeWAuBr2 | PBE-GGA | relaxed

Space group ... P4/mmm (123)
Uncorrected energy ... -3.608 eV/atom
Formation energy without anion corrections ... 6.2 eV/f.u.

Unit cell a=5.407 b=4.892 c=5.407 alpha=90.00 beta=90.00 gamma=90.00
Positions (direct):
Ge: 0.000 0.000 0.000
Au: 0.000 0.500 0.000
Br: 0.000 0.000 0.500
Br: 0.500 0.000 0.000
W: 0.500 0.500 0.500

***

24.
H2Au2Br7 | PBE-GGA | relaxed

Space group ... C2/c (15)
Uncorrected energy ... -2.385 eV/atom

Unit cell a=11.861 b=11.861 c=10.145 alpha=80.65 beta=80.65 gamma=142.60
Positions (direct):
H: 0.624 0.018 0.284
H: 0.982 0.376 0.216
H: 0.018 0.624 0.784
H: 0.376 0.982 0.716
Au: 0.337 0.147 0.257
Au: 0.147 0.337 0.757
Au: 0.853 0.663 0.243
Au: 0.663 0.853 0.743
Br: 0.945 0.753 0.451
Br: 0.085 0.573 0.166
Br: 0.462 0.276 0.445
Br: 0.901 0.099 0.250
Br: 0.753 0.945 0.951
Br: 0.573 0.085 0.666
Br: 0.276 0.462 0.945
Br: 0.724 0.538 0.055
Br: 0.427 0.915 0.334
Br: 0.247 0.055 0.049
Br: 0.099 0.901 0.750
Br: 0.538 0.724 0.555
Br: 0.915 0.427 0.834
Br: 0.055 0.247 0.549